AlVCrF6 after structural relaxation. Source: the Alexandria database, functional PBE with a Hubbard U.

## Properties
energy	-6.04	eV per atom
Fermi-level density of states	0.54	states/eV/atom

Lattice parameters (Å, degrees): 5.3492 5.3492 9.8423 90.00 90.00 120.00
Space group P-31c (No. 163)
Symmetry-distinct sites (fractional):
Al 0.3333 0.6667 0.2500 x2
V 0.3333 0.6667 0.7500 x2
Cr 0.0000 0.0000 0.0000 x2
F 0.0405 0.3882 0.1461 x12